The following is a PBE calculation of Zn2AgCl after structural relaxation, from the Alexandria database.

Energy relative to the elements, uncorrected ... -0.09 eV/atom
Raw total energy ... -1.903 eV per atom
Space-group type ... Cmmm, No. 65
Excess energy over the best structure of this formula in the dataset ... 81 meV per atom

POSCAR file:
```
Zn2AgCl
1.0
1.620 -2.918 0.000
1.620 2.918 0.000
0.000 0.000 8.261
Zn Ag Cl
2 1 1
Cartesian
0.000 0.000 2.045
0.000 0.000 6.216
1.620 0.000 4.131
1.620 0.000 0.000
```